NaCeAs: optimized geometry, GGA-PBE.

As for the space group: R-3m, No. 166. The value obtained for the total magnetization is 3.144 Bohr magnetons per cell. The calculation puts the volume at 173.9 Å³/cell. The value obtained for the energy relative to the elements is -0.5533 eV/atom. As for the density of states at the Fermi level: 7.605 states/eV/f.u.

Cell: 9.520 9.520 9.520 Å, 28.52 28.52 28.52°
Fractional positions:
Na 0.129 0.129 0.129
Na 0.871 0.871 0.871
Ce 0.294 0.294 0.294
Ce 0.706 0.706 0.706
As 0.414 0.414 0.414
As 0.586 0.586 0.586

NaCeAs2: optimized geometry, GGA-PBE.

As for the space group: P4/mmm, No. 123. The value obtained for the total magnetization is 0.000 Bohr magnetons per cell. The calculation puts the volume at 89.1 Å³/cell. The value obtained for the energy relative to the elements is -0.7607 eV/atom. As for the density of states at the Fermi level: 2.796 states/eV/f.u. Its distance to the lowest polymorph of the same formula is 0 meV/atom.

Cell: 4.811 4.811 3.849 Å, 90.00 90.00 90.00°
Fractional positions:
Na 0.000 0.000 0.000
Ce 0.500 0.500 0.000
As 0.000 0.500 0.500
As 0.500 0.000 0.500

Na3Ce5As12: optimized geometry, GGA-PBE.

As for the space group: Ia-3d, No. 230. The value obtained for the total magnetization is 15.867 Bohr magnetons per cell. The calculation puts the volume at 2274.7 Å³/cell. The value obtained for the energy relative to the elements is -0.2551 eV/atom. As for the density of states at the Fermi level: 28.713 states/eV/f.u.

Cell: 14.350 14.350 14.350 Å, 109.47 109.47 109.47°
Fractional positions:
Na 0.125 0.250 0.375
Na 0.125 0.375 0.750
Na 0.250 0.375 0.125
Na 0.250 0.875 0.625
Na 0.375 0.125 0.250
Na 0.375 0.750 0.125
Na 0.625 0.250 0.875
Na 0.625 0.875 0.750
Na 0.750 0.125 0.375
Na 0.750 0.625 0.875
Na 0.875 0.625 0.250
Na 0.875 0.750 0.625
Ce 0.000 0.000 0.000
Ce 0.000 0.000 0.500
Ce 0.000 0.500 0.000
Ce 0.000 0.500 0.500
Ce 0.125 0.750 0.875
Ce 0.125 0.875 0.250
Ce 0.250 0.125 0.875
Ce 0.250 0.625 0.375
Ce 0.375 0.250 0.625
Ce 0.375 0.625 0.750
Ce 0.500 0.000 0.000
Ce 0.500 0.000 0.500
Ce 0.500 0.500 0.000
Ce 0.500 0.500 0.500
Ce 0.625 0.375 0.250
Ce 0.625 0.750 0.375
Ce 0.750 0.375 0.625
Ce 0.750 0.875 0.125
Ce 0.875 0.125 0.750
Ce 0.875 0.250 0.125
As 0.079 0.661 0.413
As 0.079 0.918 0.667
As 0.082 0.249 0.161
As 0.082 0.333 0.921
As 0.087 0.749 0.667
As 0.087 0.839 0.421
As 0.161 0.082 0.249
As 0.161 0.579 0.913
As 0.167 0.249 0.587
As 0.167 0.418 0.579
As 0.249 0.161 0.082
As 0.249 0.587 0.167
As 0.251 0.333 0.913
As 0.251 0.418 0.339
As 0.333 0.913 0.251
As 0.333 0.921 0.082
As 0.339 0.251 0.418
As 0.339 0.587 0.921
As 0.413 0.079 0.661
As 0.413 0.833 0.751
As 0.418 0.339 0.251
As 0.418 0.579 0.167
As 0.421 0.087 0.839
As 0.421 0.833 0.582
As 0.579 0.167 0.418
As 0.579 0.913 0.161
As 0.582 0.421 0.833
As 0.582 0.661 0.749
As 0.587 0.167 0.249
As 0.587 0.921 0.339
As 0.661 0.413 0.079
As 0.661 0.749 0.582
As 0.667 0.079 0.918
As 0.667 0.087 0.749
As 0.749 0.582 0.661
As 0.749 0.667 0.087
As 0.751 0.413 0.833
As 0.751 0.839 0.918
As 0.833 0.582 0.421
As 0.833 0.751 0.413
As 0.839 0.421 0.087
As 0.839 0.918 0.751
As 0.913 0.161 0.579
As 0.913 0.251 0.333
As 0.918 0.667 0.079
As 0.918 0.751 0.839
As 0.921 0.082 0.333
As 0.921 0.339 0.587

NaCe4As5: optimized geometry, GGA-PBE.

As for the space group: Immm, No. 71. The value obtained for the total magnetization is 2.054 Bohr magnetons per cell. The calculation puts the volume at 267.6 Å³/cell. The value obtained for the energy relative to the elements is -1.1780 eV/atom. As for the density of states at the Fermi level: 17.699 states/eV/f.u.

Cell: 11.244 11.244 11.244 Å, 158.23 149.45 37.82°
Fractional positions:
Na 0.000 0.000 0.000
Ce 0.201 0.201 0.000
Ce 0.403 0.403 0.000
Ce 0.597 0.597 0.000
Ce 0.799 0.799 0.000
As 0.109 0.609 0.500
As 0.302 0.802 0.500
As 0.500 0.000 0.500
As 0.698 0.198 0.500
As 0.891 0.391 0.500